[1]
# TaCoAs2

A geometry-optimized TaCoAs2 structure (GGA-PBE, Alexandria).

The structure belongs to space group P4mm (No. 99); the cell edges are 3.356, 3.356 and 5.474 Å and the angles 90.00°, 90.00° and 90.00°. The asymmetric unit holds Ta at (0.000, 0.000, 0.000), Co at (0.500, 0.500, 0.675), As at (0.000, 0.000, 0.526) and As at (0.500, 0.500, 0.197).

For the energy relative to the lowest polymorph listed for this composition, the calculation gives 0 meV/atom. As for the spin magnetization: 0.00 Bohr magnetons per cell. The value obtained for the formation energy is -175 meV/atom.

[2]
# TaCoAs2

A geometry-optimized TaCoAs2 structure (GGA-PBE, Alexandria).

The structure belongs to space group F-43m (No. 216); the cell edges are 6.307, 6.307 and 6.307 Å and the angles 90.00°, 90.00° and 90.00°. The asymmetric unit holds Ta at (0.000, 0.000, 0.000), Co at (0.250, 0.250, 0.750), As at (0.000, 0.000, 0.500) and As at (0.250, 0.250, 0.250).

For the energy relative to the lowest polymorph listed for this composition, the calculation gives 491 meV/atom. As for the spin magnetization: 0.00 Bohr magnetons per cell. The value obtained for the formation energy is 316 meV/atom.

[3]
# TaCoAs2

A geometry-optimized TaCoAs2 structure (GGA-PBE, Alexandria).

The structure belongs to space group P4/mmm (No. 123); the cell edges are 4.325, 4.325 and 3.198 Å and the angles 90.00°, 90.00° and 90.00°. The asymmetric unit holds Ta at (0.000, 0.000, 0.000), Co at (0.500, 0.500, 0.000) and As at (0.000, 0.500, 0.500).

For the energy relative to the lowest polymorph listed for this composition, the calculation gives 89 meV/atom. As for the spin magnetization: 0.00 Bohr magnetons per cell. The value obtained for the formation energy is -85 meV/atom.

[4]
# TaCoAs2

A geometry-optimized TaCoAs2 structure (GGA-PBE, Alexandria).

The structure belongs to space group P2/m (No. 10); the cell edges are 3.204, 3.303 and 6.097 Å and the angles 90.00°, 102.42° and 90.00°. The asymmetric unit holds Ta at (0.000, 0.000, 0.000), Co at (0.000, 0.000, 0.500) and As at (0.378, 0.500, 0.750).

For the energy relative to the lowest polymorph listed for this composition, the calculation gives 169 meV/atom. As for the spin magnetization: 0.50 Bohr magnetons per cell. The value obtained for the formation energy is -5 meV/atom.

[5]
# TaCoAs2

A geometry-optimized TaCoAs2 structure (GGA-PBE, Alexandria).

The structure belongs to space group C2/m (No. 12); the cell edges are 5.923, 7.967 and 2.929 Å and the angles 90.00°, 112.92° and 90.00°. The asymmetric unit holds Ta at (0.000, 0.000, 0.000), Co at (0.000, 0.500, 0.000) and As at (0.250, 0.250, 0.500).

For the energy relative to the lowest polymorph listed for this composition, the calculation gives 349 meV/atom. As for the spin magnetization: 1.50 Bohr magnetons per cell. The value obtained for the formation energy is 174 meV/atom.

[6]
# TaCoAs2

A geometry-optimized TaCoAs2 structure (GGA-PBE, Alexandria).

The structure belongs to space group I-42d (No. 122); the cell edges are 5.689, 5.689 and 10.369 Å and the angles 90.00°, 90.00° and 90.00°. The asymmetric unit holds Ta at (0.000, 0.000, 0.000), Co at (0.000, 0.000, 0.500) and As at (0.214, 0.250, 0.625).

For the energy relative to the lowest polymorph listed for this composition, the calculation gives 437 meV/atom. As for the spin magnetization: 0.00 Bohr magnetons per cell. The value obtained for the formation energy is 262 meV/atom.

[7]
# Th2TaCo3As4

A geometry-optimized Th2TaCo3As4 structure (GGA-PBE, Alexandria).

The structure belongs to space group P-4m2 (No. 115); the cell edges are 4.169, 4.169 and 10.098 Å and the angles 90.00°, 90.00° and 90.00°. The asymmetric unit holds Th at (0.000, 0.500, 0.231), Ta at (0.000, 0.000, 0.500), Co at (0.000, 0.500, 0.889), Co at (0.500, 0.500, 0.500), As at (0.000, 0.000, 0.000), As at (0.000, 0.500, 0.653) and As at (0.500, 0.500, 0.000).

As for the spin magnetization: 1.42 Bohr magnetons per cell. The value obtained for the formation energy is -677 meV/atom.

[8]
# TaVCo2As

A geometry-optimized TaVCo2As structure (GGA-PBE, Alexandria).

The structure belongs to space group P4/mmm (No. 123); the cell edges are 4.475, 4.475 and 4.750 Å and the angles 90.00°, 90.00° and 90.00°. The asymmetric unit holds Ta at (0.000, 0.000, 0.000), V at (0.000, 0.000, 0.500), Co at (0.000, 0.500, 0.000) and As at (0.500, 0.500, 0.500).

As for the spin magnetization: 3.07 Bohr magnetons per cell. The value obtained for the formation energy is 1463 meV/atom.